# 1
! CsSn3Hg3 GGA-PBE optimized geometry; values from VASP
! Total DFT energy (no corrections)   -27.60 eV per cell
! ΔE_f   -0.005 eV per atom
! V   38.0 A^3/atom
! Symmetry   Pm-3n
&SYSTEM
  ibrav = 0, nat = 14, ntyp = 3
/
ATOMIC_SPECIES
Cs 132.91 Cs.upf
Sn 118.71 Sn.upf
Hg 200.59 Hg.upf
CELL_PARAMETERS angstrom
8.103 0.000 0.000
0.000 8.103 0.000
0.000 0.000 8.103
ATOMIC_POSITIONS crystal
Cs 0.000 0.000 0.000
Cs 0.500 0.500 0.500
Sn 0.000 0.250 0.500
Sn 0.000 0.750 0.500
Sn 0.250 0.500 0.000
Sn 0.500 0.000 0.250
Sn 0.500 0.000 0.750
Sn 0.750 0.500 0.000
Hg 0.000 0.500 0.250
Hg 0.000 0.500 0.750
Hg 0.250 0.000 0.500
Hg 0.500 0.250 0.000
Hg 0.500 0.750 0.000
Hg 0.750 0.000 0.500

=====

# 2
! KMgBiO3 GGA-PBE optimized geometry; values from VASP
! Total DFT energy (no corrections)   -63.08 eV per cell
! Formation energy without anion corrections   -1.6823 eV/atom
! V   18.1 A^3/atom
! Symmetry   P2_1/m
&SYSTEM
  ibrav = 0, nat = 12, ntyp = 4
/
ATOMIC_SPECIES
K 39.10 K.upf
Mg 24.30 Mg.upf
Bi 208.98 Bi.upf
O 16.00 O.upf
CELL_PARAMETERS angstrom
5.631 0.000 0.000
0.000 3.614 0.000
-0.844 0.000 10.680
ATOMIC_POSITIONS crystal
K 0.242 0.250 0.400
K 0.758 0.750 0.600
Mg 0.187 0.750 0.050
Mg 0.813 0.250 0.950
Bi 0.290 0.250 0.747
Bi 0.710 0.750 0.253
O 0.186 0.250 0.962
O 0.272 0.750 0.618
O 0.339 0.750 0.222
O 0.661 0.250 0.778
O 0.728 0.250 0.382
O 0.814 0.750 0.038

=====

# 3
! HfSnAs2Pd GGA-PBE optimized geometry; values from VASP
! Total DFT energy (no corrections)   -26.00 eV per cell
! ΔE_f   0.490 eV per atom
! V   23.9 A^3/atom
! Symmetry   P4/mmm
&SYSTEM
  ibrav = 0, nat = 5, ntyp = 4
/
ATOMIC_SPECIES
Hf 178.49 Hf.upf
Sn 118.71 Sn.upf
As 74.92 As.upf
Pd 106.42 Pd.upf
CELL_PARAMETERS angstrom
4.803 0.000 0.000
0.000 4.803 0.000
0.000 0.000 5.189
ATOMIC_POSITIONS crystal
Hf 0.000 0.000 0.000
Sn 0.500 0.500 0.000
As 0.000 0.500 0.500
As 0.500 0.000 0.500
Pd 0.500 0.500 0.500

=====

# 4
! LaZrAl2Ge GGA-PBE optimized geometry; values from VASP
! Total DFT energy (no corrections)   -25.55 eV per cell
! ΔE_f   0.005 eV per atom
! V   27.0 A^3/atom
! Symmetry   P4/mmm
! Energy relative to the lowest polymorph listed for this composition   0 meV/atom
&SYSTEM
  ibrav = 0, nat = 5, ntyp = 4
/
ATOMIC_SPECIES
La 138.91 La.upf
Zr 91.22 Zr.upf
Al 26.98 Al.upf
Ge 72.64 Ge.upf
CELL_PARAMETERS angstrom
5.140 0.000 0.000
0.000 5.140 0.000
0.000 0.000 5.109
ATOMIC_POSITIONS crystal
La 0.000 0.000 0.000
Zr 0.500 0.500 0.500
Al 0.000 0.500 0.500
Al 0.500 0.000 0.500
Ge 0.500 0.500 0.000

=====

# 5
! Li6AcAu4 GGA-PBE optimized geometry; values from VASP
! Total DFT energy (no corrections)   -34.29 eV per cell
! ΔE_f   -0.509 eV per atom
! V   19.1 A^3/atom
! Symmetry   P-6m2
! Energy relative to the lowest polymorph listed for this composition   0 meV/atom
&SYSTEM
  ibrav = 0, nat = 11, ntyp = 3
/
ATOMIC_SPECIES
Li 6.94 Li.upf
Ac 227.00 Ac.upf
Au 196.97 Au.upf
CELL_PARAMETERS angstrom
7.599 0.000 0.000
-3.800 6.581 0.000
0.000 0.000 4.204
ATOMIC_POSITIONS crystal
Li 0.200 0.401 0.000
Li 0.200 0.800 0.000
Li 0.249 0.125 0.500
Li 0.599 0.800 0.000
Li 0.875 0.125 0.500
Li 0.875 0.751 0.500
Ac 0.667 0.333 0.000
Au 0.000 0.000 0.000
Au 0.061 0.531 0.500
Au 0.469 0.531 0.500
Au 0.469 0.939 0.500

=====

# 6
! Hf3MnI GGA-PBE optimized geometry; values from VASP
! Total DFT energy (no corrections)   -38.45 eV per cell
! Formation energy without anion corrections   0.4256 eV/atom
! V   23.3 A^3/atom
! Symmetry   Pm-3m
! Energy relative to the lowest polymorph listed for this composition   0 meV/atom
&SYSTEM
  ibrav = 0, nat = 5, ntyp = 3
/
ATOMIC_SPECIES
Hf 178.49 Hf.upf
Mn 54.94 Mn.upf
I 126.90 I.upf
CELL_PARAMETERS angstrom
4.883 0.000 0.000
0.000 4.883 0.000
0.000 0.000 4.883
ATOMIC_POSITIONS crystal
Hf 0.000 0.000 0.500
Hf 0.000 0.500 0.000
Hf 0.500 0.000 0.000
Mn 0.000 0.000 0.000
I 0.500 0.500 0.500

=====

# 7
! AsP2O2 GGA-PBE optimized geometry; values from VASP
! Total DFT energy (no corrections)   -21.98 eV per cell
! Formation energy without anion corrections   0.6804 eV/atom
! V   13.1 A^3/atom
! Symmetry   P4/mmm
! Energy relative to the lowest polymorph listed for this composition   985 meV/atom
&SYSTEM
  ibrav = 0, nat = 5, ntyp = 3
/
ATOMIC_SPECIES
As 74.92 As.upf
P 30.97 P.upf
O 16.00 O.upf
CELL_PARAMETERS angstrom
4.001 0.000 0.000
0.000 4.001 0.000
0.000 0.000 4.082
ATOMIC_POSITIONS crystal
As 0.000 0.000 0.000
P 0.000 0.500 0.500
P 0.500 0.000 0.500
O 0.500 0.500 0.000
O 0.500 0.500 0.500

=====

# 8
! AlCrRh2 GGA-PBE optimized geometry; values from VASP
! Total DFT energy (no corrections)   -29.39 eV per cell
! ΔE_f   -0.330 eV per atom
! V   14.0 A^3/atom
! Symmetry   C2/m
&SYSTEM
  ibrav = 0, nat = 4, ntyp = 3
/
ATOMIC_SPECIES
Al 26.98 Al.upf
Cr 52.00 Cr.upf
Rh 102.91 Rh.upf
CELL_PARAMETERS angstrom
4.256 -1.407 0.000
4.256 1.407 0.000
-1.022 0.000 4.661
ATOMIC_POSITIONS crystal
Al 0.000 0.000 0.000
Cr 0.500 0.500 0.500
Rh 0.251 0.251 0.747
Rh 0.749 0.749 0.253

=====

# 9
! VCo2TcAs GGA-PBE optimized geometry; values from VASP
! Total DFT energy (no corrections)   -31.88 eV per cell
! ΔE_f   1.293 eV per atom
! V   17.7 A^3/atom
! Symmetry   P4/mmm
&SYSTEM
  ibrav = 0, nat = 5, ntyp = 4
/
ATOMIC_SPECIES
V 50.94 V.upf
Co 58.93 Co.upf
Tc 98.00 Tc.upf
As 74.92 As.upf
CELL_PARAMETERS angstrom
4.448 0.000 0.000
0.000 4.448 0.000
0.000 0.000 4.477
ATOMIC_POSITIONS crystal
V 0.000 0.000 0.000
Co 0.000 0.500 0.500
Co 0.500 0.000 0.500
Tc 0.000 0.000 0.500
As 0.500 0.500 0.000

=====

# 10
! Pr5AgHg4 GGA-PBE optimized geometry; values from VASP
! Total DFT energy (no corrections)   -32.22 eV per cell
! ΔE_f   -0.427 eV per atom
! V   28.5 A^3/atom
! Symmetry   P4/mmm
&SYSTEM
  ibrav = 0, nat = 10, ntyp = 3
/
ATOMIC_SPECIES
Pr 140.91 Pr.upf
Ag 107.87 Ag.upf
Hg 200.59 Hg.upf
CELL_PARAMETERS angstrom
3.856 0.000 0.000
0.000 3.856 0.000
0.000 0.000 19.158
ATOMIC_POSITIONS crystal
Pr 0.000 0.000 0.000
Pr 0.000 0.000 0.202
Pr 0.000 0.000 0.403
Pr 0.000 0.000 0.597
Pr 0.000 0.000 0.798
Ag 0.500 0.500 0.500
Hg 0.500 0.500 0.101
Hg 0.500 0.500 0.303
Hg 0.500 0.500 0.697
Hg 0.500 0.500 0.899

=====

# 11
! Rb3Tb3TcO8 GGA-PBE optimized geometry; values from VASP
! Total DFT energy (no corrections)   -103.25 eV per cell
! Formation energy without anion corrections   -2.4284 eV/atom
! V   17.9 A^3/atom
! Symmetry   R-3m
&SYSTEM
  ibrav = 0, nat = 15, ntyp = 4
/
ATOMIC_SPECIES
Rb 85.47 Rb.upf
Tb 158.93 Tb.upf
Tc 98.00 Tc.upf
O 16.00 O.upf
CELL_PARAMETERS angstrom
3.424 1.977 6.601
-3.424 1.977 6.601
0.000 -3.954 6.601
ATOMIC_POSITIONS crystal
Rb 0.000 0.500 0.500
Rb 0.500 0.000 0.500
Rb 0.500 0.500 0.000
Tb 0.000 0.000 0.500
Tb 0.000 0.500 0.000
Tb 0.500 0.000 0.000
Tc 0.500 0.500 0.500
O 0.224 0.224 0.224
O 0.249 0.708 0.708
O 0.292 0.292 0.751
O 0.292 0.751 0.292
O 0.708 0.249 0.708
O 0.708 0.708 0.249
O 0.751 0.292 0.292
O 0.776 0.776 0.776

=====

# 12
! DyScSiPd GGA-PBE optimized geometry; values from VASP
! Total DFT energy (no corrections)   -24.46 eV per cell
! Formation energy without anion corrections   -0.7270 eV/atom
! V   19.9 A^3/atom
! Symmetry   F-43m
&SYSTEM
  ibrav = 0, nat = 4, ntyp = 4
/
ATOMIC_SPECIES
Dy 162.50 Dy.upf
Sc 44.96 Sc.upf
Si 28.09 Si.upf
Pd 106.42 Pd.upf
CELL_PARAMETERS angstrom
0.000 3.416 3.416
3.416 0.000 3.416
3.416 3.416 0.000
ATOMIC_POSITIONS crystal
Dy 0.000 0.000 0.000
Sc 0.500 0.500 0.500
Si 0.750 0.750 0.750
Pd 0.250 0.250 0.250

=====

# 13
! Cs3Nd3AlTe8 GGA-PBE optimized geometry; values from VASP
! Total DFT energy (no corrections)   -62.37 eV per cell
! Formation energy without anion corrections   -1.1087 eV/atom
! V   43.3 A^3/atom
! Symmetry   R-3m
&SYSTEM
  ibrav = 0, nat = 15, ntyp = 4
/
ATOMIC_SPECIES
Cs 132.91 Cs.upf
Nd 144.24 Nd.upf
Al 26.98 Al.upf
Te 127.60 Te.upf
CELL_PARAMETERS angstrom
4.498 2.597 9.261
-4.498 2.597 9.261
0.000 -5.194 9.261
ATOMIC_POSITIONS crystal
Cs 0.000 0.500 0.500
Cs 0.500 0.000 0.500
Cs 0.500 0.500 0.000
Nd 0.000 0.000 0.500
Nd 0.000 0.500 0.000
Nd 0.500 0.000 0.000
Al 0.500 0.500 0.500
Te 0.233 0.233 0.233
Te 0.257 0.712 0.712
Te 0.288 0.288 0.743
Te 0.288 0.743 0.288
Te 0.712 0.257 0.712
Te 0.712 0.712 0.257
Te 0.743 0.288 0.288
Te 0.767 0.767 0.767

=====

# 14
! Cs2PuAgF6 GGA-PBE optimized geometry; values from VASP
! Total DFT energy (no corrections)   -115.17 eV per cell
! Formation energy without anion corrections   -2.7469 eV/atom
! V   21.8 A^3/atom
! Symmetry   Pmmn
&SYSTEM
  ibrav = 0, nat = 20, ntyp = 4
/
ATOMIC_SPECIES
Cs 132.91 Cs.upf
Pu 244.00 Pu.upf
Ag 107.87 Ag.upf
F 19.00 F.upf
CELL_PARAMETERS angstrom
6.749 0.000 0.000
0.000 9.549 0.000
0.000 0.000 6.755
ATOMIC_POSITIONS crystal
Cs 0.250 0.000 0.250
Cs 0.250 0.500 0.250
Cs 0.750 0.000 0.750
Cs 0.750 0.500 0.750
Pu 0.250 0.250 0.750
Pu 0.750 0.750 0.250
Ag 0.250 0.750 0.750
Ag 0.750 0.250 0.250
F 0.011 0.250 0.512
F 0.011 0.250 0.988
F 0.250 0.012 0.749
F 0.250 0.488 0.749
F 0.489 0.250 0.512
F 0.489 0.250 0.988
F 0.511 0.750 0.012
F 0.511 0.750 0.488
F 0.750 0.512 0.251
F 0.750 0.988 0.251
F 0.989 0.750 0.012
F 0.989 0.750 0.488

=====

# 15
! Tb2DyEr GGA-PBE optimized geometry; values from VASP
! Total DFT energy (no corrections)   -36.79 eV per cell
! ΔE_f   0.007 eV per atom
! V   31.7 A^3/atom
! Symmetry   Pmmn
! Energy relative to the lowest polymorph listed for this composition   0 meV/atom
&SYSTEM
  ibrav = 0, nat = 8, ntyp = 3
/
ATOMIC_SPECIES
Tb 158.93 Tb.upf
Dy 162.50 Dy.upf
Er 167.26 Er.upf
CELL_PARAMETERS angstrom
5.609 0.000 0.000
0.000 7.238 0.000
0.000 0.000 6.255
ATOMIC_POSITIONS crystal
Tb 0.250 0.000 0.167
Tb 0.250 0.500 0.167
Tb 0.750 0.000 0.833
Tb 0.750 0.500 0.833
Dy 0.250 0.250 0.666
Dy 0.750 0.750 0.334
Er 0.250 0.750 0.667
Er 0.750 0.250 0.333

=====

# 16
! UTl2CuCl8 GGA-PBE optimized geometry; values from VASP
! Total DFT energy (no corrections)   -49.83 eV per cell
! Formation energy without anion corrections   -1.2448 eV/atom
! V   36.3 A^3/atom
! Symmetry   P-1
&SYSTEM
  ibrav = 0, nat = 12, ntyp = 4
/
ATOMIC_SPECIES
U 238.03 U.upf
Tl 204.38 Tl.upf
Cu 63.55 Cu.upf
Cl 35.45 Cl.upf
CELL_PARAMETERS angstrom
6.433 0.000 0.000
1.422 6.560 0.000
0.040 0.005 10.323
ATOMIC_POSITIONS crystal
U 0.000 0.000 0.000
Tl 0.498 0.501 0.725
Tl 0.502 0.499 0.275
Cu 0.000 0.000 0.500
Cl 0.112 0.217 0.176
Cl 0.115 0.215 0.823
Cl 0.283 0.771 0.499
Cl 0.368 0.769 0.001
Cl 0.632 0.231 0.999
Cl 0.717 0.229 0.501
Cl 0.885 0.785 0.177
Cl 0.888 0.783 0.824

=====

# 17
! ReHg2Mo GGA-PBE optimized geometry; values from VASP
! Total DFT energy (no corrections)   -19.64 eV per cell
! ΔE_f   1.060 eV per atom
! V   17.6 A^3/atom
! Symmetry   P4/mmm
! Energy relative to the lowest polymorph listed for this composition   647 meV/atom
&SYSTEM
  ibrav = 0, nat = 4, ntyp = 3
/
ATOMIC_SPECIES
Re 186.21 Re.upf
Hg 200.59 Hg.upf
Mo 95.94 Mo.upf
CELL_PARAMETERS angstrom
4.576 0.000 0.000
0.000 4.576 0.000
0.000 0.000 3.358
ATOMIC_POSITIONS crystal
Re 0.000 0.000 0.000
Hg 0.000 0.500 0.500
Hg 0.500 0.000 0.500
Mo 0.500 0.500 0.000

=====

# 18
! SbRuPb GGA-PBE optimized geometry; values from VASP
! Total DFT energy (no corrections)   -33.72 eV per cell
! Formation energy without anion corrections   0.0815 eV/atom
! V   23.5 A^3/atom
! Symmetry   C2/m
! Energy relative to the lowest polymorph listed for this composition   64 meV/atom
&SYSTEM
  ibrav = 0, nat = 6, ntyp = 3
/
ATOMIC_SPECIES
Sb 121.76 Sb.upf
Ru 101.07 Ru.upf
Pb 207.20 Pb.upf
CELL_PARAMETERS angstrom
7.814 -1.671 0.000
7.814 1.671 0.000
-0.443 0.000 5.398
ATOMIC_POSITIONS crystal
Sb 0.181 0.181 0.311
Sb 0.819 0.819 0.689
Ru 0.198 0.198 0.821
Ru 0.802 0.802 0.179
Pb 0.450 0.450 0.239
Pb 0.550 0.550 0.761

=====

# 19
! KAc2RhO5 GGA-PBE optimized geometry; values from VASP
! Total DFT energy (no corrections)   -123.50 eV per cell
! Formation energy without anion corrections   -2.2547 eV/atom
! V   17.4 A^3/atom
! Symmetry   P4/mbm
&SYSTEM
  ibrav = 0, nat = 18, ntyp = 4
/
ATOMIC_SPECIES
K 39.10 K.upf
Ac 227.00 Ac.upf
Rh 102.91 Rh.upf
O 16.00 O.upf
CELL_PARAMETERS angstrom
7.253 0.000 0.000
0.000 7.253 0.000
0.000 0.000 5.939
ATOMIC_POSITIONS crystal
K 0.000 0.000 0.000
K 0.500 0.500 0.000
Ac 0.180 0.320 0.500
Ac 0.320 0.820 0.500
Ac 0.680 0.180 0.500
Ac 0.820 0.680 0.500
Rh 0.000 0.500 0.000
Rh 0.500 0.000 0.000
O 0.000 0.000 0.500
O 0.130 0.630 0.245
O 0.130 0.630 0.755
O 0.370 0.130 0.245
O 0.370 0.130 0.755
O 0.500 0.500 0.500
O 0.630 0.870 0.245
O 0.630 0.870 0.755
O 0.870 0.370 0.245
O 0.870 0.370 0.755

=====

# 20
! Ac2SmIr3O12 GGA-PBE optimized geometry; values from VASP
! Total DFT energy (no corrections)   -131.16 eV per cell
! Formation energy without anion corrections   -1.7857 eV/atom
! V   13.5 A^3/atom
! Symmetry   R-3m
&SYSTEM
  ibrav = 0, nat = 18, ntyp = 4
/
ATOMIC_SPECIES
Ac 227.00 Ac.upf
Sm 150.36 Sm.upf
Ir 192.22 Ir.upf
O 16.00 O.upf
CELL_PARAMETERS angstrom
3.626 2.094 5.343
-3.626 2.094 5.343
0.000 -4.187 5.343
ATOMIC_POSITIONS crystal
Ac 0.116 0.116 0.116
Ac 0.884 0.884 0.884
Sm 0.500 0.500 0.500
Ir 0.000 0.500 0.500
Ir 0.500 0.000 0.500
Ir 0.500 0.500 0.000
O 0.076 0.643 0.643
O 0.214 0.214 0.635
O 0.214 0.635 0.214
O 0.357 0.357 0.924
O 0.357 0.924 0.357
O 0.365 0.786 0.786
O 0.635 0.214 0.214
O 0.643 0.076 0.643
O 0.643 0.643 0.076
O 0.786 0.365 0.786
O 0.786 0.786 0.365
O 0.924 0.357 0.357